Below is Na2DyTiO4 after structural relaxation, with properties calculated at the PBE-GGA level.

abc: 5.6088 3.2435 5.8531
angles: 90.00 108.77 90.00
Element x y z (fractional)
Na  0.0000  0.0000  0.0000
Na  0.5000  0.5000  0.0000
Dy  0.0000  0.5000  0.5000
Ti  0.5000  0.0000  0.5000
O  0.2597  0.0000  0.7108
O  0.2809  0.5000  0.2940
O  0.7191  0.5000  0.7060
O  0.7403  0.0000  0.2892

Values from the calculation:
Symmetry ... P2/m


Below is Na3Dy2TlO6 after structural relaxation, with properties calculated at the PBE-GGA level.

abc: 5.9055 5.9055 5.9679
angles: 99.51 99.51 119.96
Element x y z (fractional)
Na  0.0000  0.0000  0.0000
Na  0.3386  0.6614  0.0000
Na  0.6614  0.3386  0.0000
Dy  0.1668  0.8332  0.5000
Dy  0.8332  0.1668  0.5000
Tl  0.5000  0.5000  0.5000
O  0.0863  0.4271  0.2817
O  0.2314  0.2314  0.7193
O  0.4271  0.0863  0.2817
O  0.5729  0.9137  0.7183
O  0.7686  0.7686  0.2807
O  0.9137  0.5729  0.7183

Values from the calculation:
Symmetry ... C2/m


Below is Na2DyTlO4 after structural relaxation, with properties calculated at the PBE-GGA level.

abc: 5.8574 3.4243 5.9847
angles: 90.00 109.49 90.00
Element x y z (fractional)
Na  0.0000  0.0000  0.0000
Na  0.5000  0.5000  0.0000
Dy  0.0000  0.5000  0.5000
Tl  0.5000  0.0000  0.5000
O  0.2289  0.0000  0.7192
O  0.2571  0.5000  0.2766
O  0.7429  0.5000  0.7234
O  0.7711  0.0000  0.2808

Values from the calculation:
Symmetry ... P2/m


ΔE_f (raw) for the records above, in order: -2.547 -2.206 -1.917 eV/atom
Total magnetization for the records above, in order: 1.01 0.00 0.00 μB per formula unit